Record 1
Ho8Ga2Cu | GGA-PBE | relaxed

a = 4.947 Å, b = 6.575 Å, c = 9.404 Å
α = 101.74°, β = 105.25°, γ = 90.00°
Fractional coordinates of all 11 atoms:
Ho 0.408 0.540 0.816
Ho 0.655 0.975 0.309
Ho 0.793 0.687 0.585
Ho 0.977 0.224 0.955
Ho 0.207 0.313 0.415
Ho 0.345 0.025 0.691
Ho 0.592 0.460 0.184
Ho 0.023 0.776 0.045
Ga 0.811 0.246 0.622
Ga 0.189 0.754 0.378
Cu 0.500 0.000 0.000

Formation energy in meV per atom: -236
Uncorrected energy in eV for the cell shown: -49.36

Record 2
Ba2InBiPt | GGA-PBE | relaxed

a = 6.060 Å, b = 6.060 Å, c = 5.220 Å
α = 90.00°, β = 90.00°, γ = 90.00°
Fractional coordinates of all 5 atoms:
In 0.000 0.000 0.500
Bi 0.500 0.500 0.500
Pt 0.000 0.000 0.000
Ba 0.000 0.500 0.000
Ba 0.500 0.000 0.000

Formation energy in meV per atom: -686
Uncorrected energy in eV for the cell shown: -19.94

Record 3
TlCr2Se2 | GGA-PBE | relaxed

a = 3.550 Å, b = 3.550 Å, c = 9.275 Å
α = 78.97°, β = 78.97°, γ = 90.00°
Site moments in Bohr magnetons follow the coordinates.
Fractional coordinates of all 5 atoms:
Cr 0.750 0.250 0.500  0.56
Cr 0.250 0.750 0.500  0.56
Tl 0.000 0.000 0.000  0.04
Se 0.343 0.343 0.314  -0.03
Se 0.657 0.657 0.686  -0.03

Uncorrected energy in eV for the cell shown: -29.51
Formation energy without anion corrections in eV/atom: -0.186
Excess energy over the best structure of this formula in the dataset in eV/atom: 0.000

Record 4
NdTlZn2 | GGA-PBE | relaxed

a = 4.551 Å, b = 5.595 Å, c = 4.719 Å
α = 126.35°, β = 90.00°, γ = 90.00°
Fractional coordinates of all 4 atoms:
Nd 0.500 0.813 0.627
Tl 0.000 0.477 0.954
Zn 0.000 0.094 0.188
Zn 0.500 0.218 0.436

Formation energy in meV per atom: -86
Uncorrected energy in eV for the cell shown: -10.03
Excess energy over the best structure of this formula in the dataset in eV/atom: 0.122

Record 5
Ac3Zn2Hg | GGA-PBE | relaxed

a = 5.591 Å, b = 5.591 Å, c = 6.885 Å
α = 90.00°, β = 90.00°, γ = 120.00°
Fractional coordinates of all 6 atoms:
Ac 0.000 0.000 0.500
Ac 0.667 0.333 0.825
Ac 0.333 0.667 0.175
Zn 0.667 0.333 0.336
Zn 0.333 0.667 0.664
Hg 0.000 0.000 0.000

Formation energy in meV per atom: -314
Uncorrected energy in eV for the cell shown: -17.06
Excess energy over the best structure of this formula in the dataset in eV/atom: 0.007

Record 6
Th8FeCo3Te4 | GGA-PBE | relaxed

a = 8.151 Å, b = 8.987 Å, c = 8.155 Å
α = 116.98°, β = 119.98°, γ = 90.00°
Fractional coordinates of all 16 atoms:
Th 0.230 0.694 0.965
Th 0.230 0.694 0.460
Th 0.269 0.306 0.537
Th 0.734 0.694 0.965
Th 0.266 0.306 0.035
Th 0.731 0.694 0.463
Th 0.770 0.306 0.540
Th 0.770 0.306 0.035
Fe 0.000 0.500 0.000
Co 0.500 0.500 0.000
Co 0.500 0.500 0.500
Co 0.000 0.500 0.500
Te 0.500 0.000 0.000
Te 0.500 0.000 0.500
Te 0.000 0.000 0.000
Te 0.000 0.000 0.500

Uncorrected energy in eV for the cell shown: -113.22
Formation energy without anion corrections in eV/atom: -0.720

Record 7
TlZn2Re | GGA-PBE | relaxed

a = 3.425 Å, b = 3.425 Å, c = 5.904 Å
α = 90.00°, β = 90.00°, γ = 90.00°
Fractional coordinates of all 4 atoms:
Re 0.500 0.500 0.250
Tl 0.500 0.500 0.750
Zn 0.000 0.000 0.045
Zn 0.000 0.000 0.455

Formation energy in meV per atom: 533
Uncorrected energy in eV for the cell shown: -15.23
Excess energy over the best structure of this formula in the dataset in eV/atom: 0.060

Record 8
Y2SbAs | GGA-PBE | relaxed

a = 4.238 Å, b = 4.238 Å, c = 7.425 Å
α = 73.39°, β = 73.39°, γ = 60.01°
Fractional coordinates of all 4 atoms:
Y 0.006 0.006 0.983
Y 0.494 0.494 0.517
Sb 0.250 0.250 0.250
As 0.750 0.750 0.750

Uncorrected energy in eV for the cell shown: -27.08
Formation energy without anion corrections in eV/atom: -1.345

What is the formula in the sixth record?
Th8FeCo3Te4